VASP calculation (PBE-GGA) on a relaxed structure of HgSbBr2.

```
4
Lattice="-1.880 2.929 -1.238 -5.271 -3.559 -0.416 -1.140 1.163 4.484" Properties=species:S:1:pos:R:3 pbc="T T T"
Sb -3.205 -1.198 2.034
Hg -1.510 2.046 1.623
Br 0.000 0.000 0.000
Br -3.575 -0.315 -0.827
```

Properties
distance to the lowest polymorph of the same formula = 336.3 meV/atom
ΔE_f (raw) = 0.04 eV/atom
density of states at the Fermi level = 0.56 states/eV/atom
calculated volume = 112.3 Å³/f.u.
space-group type = Pmmm (47)

***

VASP calculation (PBE-GGA) on a relaxed structure of Hg4SbBr.

```
6
Lattice="0.000 4.318 4.318 4.318 0.000 4.318 4.318 4.318 0.000" Properties=species:S:1:pos:R:3 pbc="T T T"
Hg 3.236 5.401 5.401
Hg 5.401 5.401 3.236
Hg 5.401 3.236 5.401
Hg 3.236 3.236 3.236
Sb 6.478 6.478 6.478
Br 0.000 0.000 0.000
```

Properties
ΔE_f (raw) = 0.17 eV/atom
density of states at the Fermi level = 0.37 states/eV/atom
calculated volume = 161.1 Å³/f.u.
space-group type = F-43m (216)

***

VASP calculation (PBE-GGA) on a relaxed structure of HgSbSe2Br.

```
5
Lattice="-1.853 -0.198 5.008 -2.420 -4.641 -1.078 4.603 -2.771 1.594" Properties=species:S:1:pos:R:3 pbc="T T T"
Sb 0.000 0.000 0.000
Se -1.210 -2.320 -0.539
Se -0.927 -0.099 2.504
Hg 0.165 -3.805 2.762
Br 2.302 -1.385 0.797
```

Properties
distance to the lowest polymorph of the same formula = 440.8 meV/atom
ΔE_f (raw) = 0.16 eV/atom
density of states at the Fermi level = 0.60 states/eV/atom
calculated volume = 160.0 Å³/f.u.
space-group type = P4/mmm (123)

***

VASP calculation (PBE-GGA) on a relaxed structure of HgSbSeBr2.

```
5
Lattice="5.617 0.000 0.000 0.000 5.617 0.000 0.000 0.000 5.392" Properties=species:S:1:pos:R:3 pbc="T T T"
Sb 0.000 0.000 0.000
Se 0.000 0.000 2.696
Hg 2.808 2.808 2.696
Br 0.000 2.808 0.000
Br 2.808 0.000 0.000
```

Properties
distance to the lowest polymorph of the same formula = 0.0 meV/atom
ΔE_f (raw) = -0.08 eV/atom
density of states at the Fermi level = 0.83 states/eV/atom
calculated volume = 170.1 Å³/f.u.
space-group type = P4/mmm (123)

***

VASP calculation (PBE-GGA) on a relaxed structure of HgSb2Se2Br2.

```
7
Lattice="-3.646 -1.738 0.345 3.187 -6.464 1.118 0.228 -3.303 9.597" Properties=species:S:1:pos:R:3 pbc="T T T"
Hg 0.000 0.000 0.000
Sb 0.058 -3.822 5.179
Sb -0.289 -7.684 5.881
Se 1.089 -5.603 7.101
Se -1.319 -5.903 3.958
Br -1.019 -1.986 3.051
Br 0.788 -9.519 8.009
```

Properties
ΔE_f (raw) = -0.34 eV/atom
calculated volume = 262.3 Å³/f.u.
space-group type = C2/m (12)

***

VASP calculation (PBE-GGA) on a relaxed structure of HgSbSe2Br.

```
10
Lattice="-5.069 -1.145 2.384 0.969 -6.408 -1.019 3.824 0.384 8.316" Properties=species:S:1:pos:R:3 pbc="T T T"
Hg -0.904 -2.051 0.522
Hg 0.627 -5.119 9.159
Sb 1.313 -2.221 5.154
Sb -1.590 -4.949 4.526
Se -1.469 -2.733 5.848
Se 1.192 -4.437 3.832
Se -2.796 -3.702 2.561
Se 2.519 -3.468 7.119
Br 0.392 -6.544 1.118
Br -0.669 -0.626 8.562
```

Properties
distance to the lowest polymorph of the same formula = 0.0 meV/atom
ΔE_f (raw) = -0.28 eV/atom
calculated volume = 170.6 Å³/f.u.
space-group type = P2_1/m (11)

***

VASP calculation (PBE-GGA) on a relaxed structure of HgSb2TeBr.

```
5
Lattice="5.664 0.000 0.000 0.000 5.664 0.000 0.000 0.000 5.573" Properties=species:S:1:pos:R:3 pbc="T T T"
Sb 0.000 2.832 0.000
Sb 2.832 0.000 0.000
Te 0.000 0.000 2.787
Hg 0.000 0.000 0.000
Br 2.832 2.832 2.787
```

Properties
distance to the lowest polymorph of the same formula = 0.0 meV/atom
ΔE_f (raw) = 0.67 eV/atom
density of states at the Fermi level = 1.29 states/eV/atom
calculated volume = 178.8 Å³/f.u.
space-group type = P4/mmm (123)

***

VASP calculation (PBE-GGA) on a relaxed structure of Hg2SbTeBr.

```
5
Lattice="-3.778 3.946 -0.996 -4.102 -3.342 2.318 1.007 2.223 4.988" Properties=species:S:1:pos:R:3 pbc="T T T"
Sb -2.051 -1.671 1.159
Te -3.436 1.414 3.155
Hg 0.504 1.111 2.494
Hg -1.889 1.973 -0.498
Br 0.000 0.000 0.000
```

Properties
ΔE_f (raw) = 0.56 eV/atom
density of states at the Fermi level = 0.80 states/eV/atom
calculated volume = 178.1 Å³/f.u.
space-group type = P4/mmm (123)

***

VASP calculation (PBE-GGA) on a relaxed structure of HgSbTe2Br.

```
5
Lattice="5.734 0.000 0.000 0.000 5.734 0.000 0.000 0.000 5.646" Properties=species:S:1:pos:R:3 pbc="T T T"
Sb 0.000 0.000 2.823
Te 0.000 2.867 0.000
Te 2.867 0.000 0.000
Hg 2.867 2.867 2.823
Br 0.000 0.000 0.000
```

Properties
distance to the lowest polymorph of the same formula = 168.5 meV/atom
ΔE_f (raw) = 0.80 eV/atom
density of states at the Fermi level = 1.64 states/eV/atom
calculated volume = 185.6 Å³/f.u.
space-group type = P4/mmm (123)

***

VASP calculation (PBE-GGA) on a relaxed structure of HgSbTe2Br.

```
5
Lattice="-4.040 1.314 3.626 0.965 -4.741 2.792 3.856 2.732 3.306" Properties=species:S:1:pos:R:3 pbc="T T T"
Sb 1.928 1.366 1.653
Te 0.482 -2.370 1.396
Te -2.020 0.657 1.813
Hg 0.000 0.000 0.000
Br 0.390 -0.347 4.862
```

Properties
distance to the lowest polymorph of the same formula = 0.0 meV/atom
ΔE_f (raw) = 0.64 eV/atom
density of states at the Fermi level = 1.31 states/eV/atom
calculated volume = 179.9 Å³/f.u.
space-group type = P4/mmm (123)

***

VASP calculation (PBE-GGA) on a relaxed structure of HgSbTeBr.

```
4
Lattice="4.134 -0.004 0.491 2.040 3.595 0.491 1.070 0.622 8.795" Properties=species:S:1:pos:R:3 pbc="T T T"
Hg 2.750 1.599 4.545
Sb 0.960 0.558 1.870
Te 4.295 2.499 9.238
Br 6.627 3.855 7.235
```

Properties
ΔE_f (raw) = -0.12 eV/atom
density of states at the Fermi level = 0.05 states/eV/atom
calculated volume = 128.2 Å³/f.u.
space-group type = Cm (8)

***

VASP calculation (PBE-GGA) on a relaxed structure of Hg6SbTeBr2.

```
20
Lattice="7.785 0.000 0.056 0.000 7.947 0.000 0.153 0.000 11.449" Properties=species:S:1:pos:R:3 pbc="T T T"
Hg 2.354 5.599 0.684
Hg 6.323 6.321 6.437
Hg 5.584 2.348 10.821
Hg 1.615 1.625 5.068
Hg 2.366 5.591 5.019
Hg 6.335 6.329 10.771
Hg 5.572 2.356 6.486
Hg 1.603 1.617 0.734
Hg 6.960 4.135 2.995
Hg 3.144 7.785 8.691
Hg 0.978 3.812 8.510
Hg 4.794 0.162 2.813
Sb 3.892 0.000 0.028
Sb 0.077 3.973 5.725
Te 3.969 0.000 5.752
Te 0.000 3.973 0.000
Br 0.309 7.851 2.941
Br 4.278 4.069 8.693
Br 7.629 0.096 8.564
Br 3.660 3.878 2.811
```

Properties
ΔE_f (raw) = -0.13 eV/atom
density of states at the Fermi level = 0.06 states/eV/atom
calculated volume = 354.1 Å³/f.u.
space-group type = P2_1/c (14)

***

VASP calculation (PBE-GGA) on a relaxed structure of Hg4SbTeBr.

```
14
Lattice="7.718 0.000 0.272 0.000 7.496 0.000 -2.679 0.000 7.888" Properties=species:S:1:pos:R:3 pbc="T T T"
Hg -1.773 4.263 6.016
Hg 6.812 0.515 2.144
Hg 6.812 3.233 2.144
Hg -1.773 6.981 6.016
Hg 2.853 5.622 0.841
Hg 2.186 1.874 7.319
Hg 1.474 5.622 4.766
Hg 3.566 1.874 3.394
Sb 0.470 5.622 2.208
Sb 4.569 1.874 5.952
Te 2.506 5.622 7.290
Te 2.533 1.874 0.871
Br 4.510 5.622 3.490
Br 0.530 1.874 4.671
```

Properties
ΔE_f (raw) = -0.11 eV/atom
calculated volume = 230.9 Å³/f.u.
space-group type = P2_1/m (11)